1.
Material: Sb3MoCl9
Method: DFT, PBE
State: relaxed

Results
Theoretical density (g cm⁻³): 2.443
Total DFT energy (no corrections) (eV per atom): -3.65
Calculated volume (Å³ per atom): 40.79
E_form (uncorrected) (eV/atom): -0.5873

Cell lengths 12.0499, 10.9907, 12.1532 Å; angles 54.73, 60.28, 56.76 degrees
With the nearest neighbours (Å) after each atom.
Fractional positions:
Sb: 0.8395 0.1314 0.3432  1 Cl 2.37
Sb: 0.6859 0.6314 0.8432  1 Cl 2.37
Sb: 0.3260 0.3839 0.1187  1 Cl 2.37
Sb: 0.1714 0.8839 0.6187  1 Cl 2.37
Sb: 0.3556 0.2500 0.7346  1 Cl 2.36
Sb: 0.6598 0.7500 0.2346  1 Cl 2.36
Cl: 0.6851 0.4511 0.7959  1 Sb 2.37
Cl: 0.5499 0.1515 0.2224  1 Mo 2.46, 1 Sb 2.74
Cl: 0.9307 0.3728 0.2353  1 Mo 2.47
Cl: 0.7561 0.8914 0.4523  1 Mo 2.47, 1 Sb 2.70
Cl: 0.2574 0.1272 0.5063  1 Mo 2.46, 1 Sb 2.74
Cl: 0.0761 0.6515 0.7224  1 Mo 2.46, 1 Sb 2.74
Cl: 0.4935 0.2433 0.4779  1 Mo 2.47, 1 Sb 2.74
Cl: 0.4612 0.8728 0.7353  1 Mo 2.47
Cl: 0.0678 0.9511 0.2959  1 Sb 2.37
Cl: 0.9445 0.0676 0.6648  1 Sb 2.37
Cl: 0.2203 0.2764 0.9800  1 Mo 2.46, 1 Sb 2.70
Cl: 0.4520 0.8999 0.1679  1 Sb 2.36
Cl: 0.1092 0.6272 0.0063  1 Mo 2.46, 1 Sb 2.74
Cl: 0.5233 0.7764 0.4800  1 Mo 2.46, 1 Sb 2.70
Cl: 0.7853 0.7433 0.9779  1 Mo 2.47, 1 Sb 2.74
Cl: 0.4802 0.3999 0.6679  1 Sb 2.36
Cl: 0.9003 0.3914 0.9523  1 Mo 2.47, 1 Sb 2.70
Cl: 0.3232 0.5676 0.1648  1 Sb 2.37
Mo: 0.5063 0.0111 0.4786  6 Cl 2.46-2.47
Mo: 0.0041 0.5111 0.9786  6 Cl 2.46-2.47

2.
Material: SbTe2MoCl
Method: DFT, PBE
State: relaxed

Results
Theoretical density (g cm⁻³): 5.564
Energy relative to the lowest polymorph listed for this composition (eV/f.u.): 5.303
DOS at the Fermi energy (states/eV per atom): 0.985
Total DFT energy (no corrections) (eV per atom): -3.33
Calculated volume (Å³ per atom): 30.34
E_form (uncorrected) (eV/atom): 1.2910

Cell lengths 5.4429, 5.4429, 5.1210 Å; angles 90.00, 90.00, 90.00 degrees
With the nearest neighbours (Å) after each atom.
Fractional positions:
Te: 0.0000 0.5000 0.0000  2 Cl 2.72
Te: 0.5000 0.0000 0.0000  2 Cl 2.72
Mo: 0.5000 0.5000 0.5000  8 Te 3.74, 4 Sb 3.85
Sb: 0.0000 0.0000 0.5000  2 Cl 2.56
Cl: 0.0000 0.0000 0.0000  2 Sb 2.56, 4 Te 2.72

3.
Material: SbTe2MoCl
Method: DFT, PBE
State: relaxed

Results
Theoretical density (g cm⁻³): 5.773
Energy relative to the lowest polymorph listed for this composition (eV/f.u.): 0.000
DOS at the Fermi energy (states/eV per atom): 0.810
Total DFT energy (no corrections) (eV per atom): -4.39
Calculated volume (Å³ per atom): 29.24
E_form (uncorrected) (eV/atom): 0.2303

Cell lengths 5.2194, 5.2194, 5.3673 Å; angles 90.00, 90.00, 90.00 degrees
With the nearest neighbours (Å) after each atom.
Fractional positions:
Te: 0.0000 0.5000 0.0000  2 Mo 2.61
Te: 0.5000 0.0000 0.0000  2 Mo 2.61
Cl: 0.5000 0.5000 0.5000  4 Sb 3.69, 8 Te 3.74
Mo: 0.0000 0.0000 0.0000  4 Te 2.61, 2 Sb 2.68
Sb: 0.0000 0.0000 0.5000  2 Mo 2.68

4.
Material: Ti2SbMoCl
Method: DFT, PBE
State: relaxed

Results
Theoretical density (g cm⁻³): 4.481
DOS at the Fermi energy (states/eV per atom): 0.132
Total DFT energy (no corrections) (eV per atom): -4.91
Calculated volume (Å³ per atom): 25.85
E_form (uncorrected) (eV/atom): 1.6055

Cell lengths 5.1181, 4.9351, 5.1181 Å; angles 90.00, 90.00, 90.00 degrees
With the nearest neighbours (Å) after each atom.
Fractional positions:
Sb: 0.0000 0.0000 0.0000  2 Cl 2.47, 4 Ti 2.56
Ti: 0.5000 0.0000 0.0000  2 Sb 2.56
Ti: 0.0000 0.0000 0.5000  2 Sb 2.56
Mo: 0.5000 0.5000 0.5000  8 Ti 3.55, 4 Cl 3.62
Cl: 0.0000 0.5000 0.0000  2 Sb 2.47

5.
Material: TlSbMo2Cl
Method: DFT, PBE
State: relaxed

Results
Theoretical density (g cm⁻³): 4.978
DOS at the Fermi energy (states/eV per atom): 0.509
Total DFT energy (no corrections) (eV per atom): -4.66
Calculated volume (Å³ per atom): 36.93
E_form (uncorrected) (eV/atom): 1.3357

Cell lengths 5.2465, 6.7081, 5.2465 Å; angles 90.00, 90.00, 90.00 degrees
With the nearest neighbours (Å) after each atom.
Fractional positions:
Cl: 0.5000 0.5000 0.5000  4 Tl 3.71
Mo: 0.5000 0.0000 0.0000  2 Sb 2.62
Mo: 0.0000 0.0000 0.5000  2 Sb 2.62
Sb: 0.0000 0.0000 0.0000  4 Mo 2.62
Tl: 0.0000 0.5000 0.0000  2 Sb 3.35, 4 Cl 3.71

6.
Material: TlSb2MoCl
Method: DFT, PBE
State: relaxed

Results
Theoretical density (g cm⁻³): 6.736
DOS at the Fermi energy (states/eV per atom): 0.919
Total DFT energy (no corrections) (eV per atom): -4.51
Calculated volume (Å³ per atom): 28.56
E_form (uncorrected) (eV/atom): 0.1526

Cell lengths 5.2946, 5.0940, 5.2946 Å; angles 90.00, 90.00, 90.00 degrees
With the nearest neighbours (Å) after each atom.
Fractional positions:
Sb: 0.5000 0.0000 0.0000  2 Mo 2.65
Sb: 0.0000 0.0000 0.5000  2 Mo 2.65
Tl: 0.5000 0.5000 0.5000  8 Sb 3.67, 4 Cl 3.74
Cl: 0.0000 0.5000 0.0000  2 Mo 2.55
Mo: 0.0000 0.0000 0.0000  2 Cl 2.55, 4 Sb 2.65

7.
Material: ScMoCl
Method: DFT, PBE
State: relaxed

Results
Theoretical density (g cm⁻³): 4.734
Energy relative to the lowest polymorph listed for this composition (eV/f.u.): 3.360
DOS at the Fermi energy (states/eV per atom): 0.787
Total DFT energy (no corrections) (eV per atom): -5.41
Calculated volume (Å³ per atom): 20.62
E_form (uncorrected) (eV/atom): 0.9312

Cell lengths 4.4391, 4.4391, 4.4391 Å; angles 60.00, 60.00, 60.00 degrees
With the nearest neighbours (Å) after each atom.
Fractional positions:
Cl: 0.5000 0.5000 0.5000  4 Mo 2.72
Sc: 0.0000 0.0000 0.0000  4 Mo 2.72
Mo: 0.7500 0.7500 0.7500  4 Cl 2.72, 4 Sc 2.72

8.
Material: Sc3MoCl
Method: DFT, PBE
State: relaxed

Results
Theoretical density (g cm⁻³): 4.240
Energy relative to the lowest polymorph listed for this composition (eV/f.u.): 0.000
DOS at the Fermi energy (states/eV per atom): 0.664
Total DFT energy (no corrections) (eV per atom): -6.30
Calculated volume (Å³ per atom): 20.85
E_form (uncorrected) (eV/atom): 0.0390

Cell lengths 4.7067, 4.7067, 4.7067 Å; angles 90.00, 90.00, 90.00 degrees
With the nearest neighbours (Å) after each atom.
Fractional positions:
Sc: 0.0000 0.5000 0.0000  2 Cl 2.35
Sc: 0.5000 0.0000 0.0000  2 Cl 2.35
Sc: 0.0000 0.0000 0.5000  2 Cl 2.35
Cl: 0.0000 0.0000 0.0000  6 Sc 2.35
Mo: 0.5000 0.5000 0.5000  12 Sc 3.33

9.
Material: ScMoCl
Method: DFT, PBE
State: relaxed

Results
Theoretical density (g cm⁻³): 4.587
Energy relative to the lowest polymorph listed for this composition (eV/f.u.): 0.000
DOS at the Fermi energy (states/eV per atom): 0.709
Total DFT energy (no corrections) (eV per atom): -6.53
Calculated volume (Å³ per atom): 21.28
E_form (uncorrected) (eV/atom): -0.1887

Cell lengths 3.1379, 3.1379, 7.4875 Å; angles 90.00, 90.00, 120.00 degrees
With the nearest neighbours (Å) after each atom.
Fractional positions:
Cl: 0.0000 0.0000 0.9229  3 Sc 2.55
Mo: 0.6667 0.3333 0.3931  3 Sc 2.83, 6 Mo 3.14
Sc: 0.3333 0.6667 0.6840  3 Cl 2.55, 3 Mo 2.83

10.
Material: ScMo3Cl
Method: DFT, PBE
State: relaxed

Results
Theoretical density (g cm⁻³): 5.660
Energy relative to the lowest polymorph listed for this composition (eV/f.u.): 7.893
DOS at the Fermi energy (states/eV per atom): 1.779
Total DFT energy (no corrections) (eV per atom): -5.82
Calculated volume (Å³ per atom): 21.61
E_form (uncorrected) (eV/atom): 2.3102

Cell lengths 4.7627, 4.7627, 4.7627 Å; angles 90.00, 90.00, 90.00 degrees
With the nearest neighbours (Å) after each atom.
Fractional positions:
Mo: 0.0000 0.5000 0.0000  2 Sc 2.38
Mo: 0.0000 0.0000 0.5000  2 Sc 2.38
Mo: 0.5000 0.0000 0.0000  2 Sc 2.38
Cl: 0.5000 0.5000 0.5000  12 Mo 3.37
Sc: 0.0000 0.0000 0.0000  6 Mo 2.38

11.
Material: Sc3MoCl
Method: DFT, PBE
State: relaxed

Results
Theoretical density (g cm⁻³): 3.269
Energy relative to the lowest polymorph listed for this composition (eV/f.u.): 1.514
DOS at the Fermi energy (states/eV per atom): 1.318
Total DFT energy (no corrections) (eV per atom): -5.99
Calculated volume (Å³ per atom): 27.05
E_form (uncorrected) (eV/atom): 0.3417

Cell lengths 5.1331, 5.1331, 5.1331 Å; angles 90.00, 90.00, 90.00 degrees
With the nearest neighbours (Å) after each atom.
Fractional positions:
Sc: 0.0000 0.0000 0.5000  2 Mo 2.57
Sc: 0.5000 0.0000 0.0000  2 Mo 2.57
Sc: 0.0000 0.5000 0.0000  2 Mo 2.57
Mo: 0.0000 0.0000 0.0000  6 Sc 2.57
Cl: 0.5000 0.5000 0.5000  12 Sc 3.63

12.
Material: ScMo3Cl
Method: DFT, PBE
State: relaxed

Results
Theoretical density (g cm⁻³): 6.851
Energy relative to the lowest polymorph listed for this composition (eV/f.u.): 0.000
DOS at the Fermi energy (states/eV per atom): 1.134
Total DFT energy (no corrections) (eV per atom): -7.40
Calculated volume (Å³ per atom): 17.85
E_form (uncorrected) (eV/atom): 0.7316

Cell lengths 4.4689, 4.4689, 4.4689 Å; angles 90.00, 90.00, 90.00 degrees
With the nearest neighbours (Å) after each atom.
Fractional positions:
Mo: 0.0000 0.0000 0.5000  2 Cl 2.23
Mo: 0.0000 0.5000 0.0000  2 Cl 2.23
Mo: 0.5000 0.0000 0.0000  2 Cl 2.23
Cl: 0.0000 0.0000 0.0000  6 Mo 2.23
Sc: 0.5000 0.5000 0.5000  12 Mo 3.16

13.
Material: ScMoCl
Method: DFT, PBE
State: relaxed

Results
Theoretical density (g cm⁻³): 5.590
Energy relative to the lowest polymorph listed for this composition (eV/f.u.): 1.148
DOS at the Fermi energy (states/eV per atom): 0.709
Total DFT energy (no corrections) (eV per atom): -6.14
Calculated volume (Å³ per atom): 17.46
E_form (uncorrected) (eV/atom): 0.1941

Cell lengths 4.5476, 4.5476, 2.9252 Å; angles 90.00, 90.00, 120.00 degrees
With the nearest neighbours (Å) after each atom.
Fractional positions:
Sc: 0.6667 0.3333 0.6664  2 Sc 2.93, 6 Mo 3.00-3.01, 6 Cl 3.00-3.01
Mo: 0.3333 0.6667 0.1668  3 Cl 2.63, 2 Mo 2.93
Cl: 0.0000 0.0000 0.1667  3 Mo 2.63, 2 Cl 2.93